No. 1
An optimized crystal structure of Pr6AsPt2I3. Source: Alexandria via LeMat-Bulk, functional PBE.

a = 7.576 Å, b = 7.576 Å, c = 8.293 Å
α = 98.77°, β = 98.77°, γ = 119.86°
Positions (direct):
Pr 0.589 0.936 0.809
Pr 0.717 0.717 0.191
Pr 0.064 0.411 0.191
Pr 0.936 0.589 0.809
Pr 0.283 0.283 0.809
Pr 0.411 0.064 0.191
I 0.838 0.162 0.500
I 0.500 0.500 0.500
I 0.162 0.838 0.500
As 0.000 0.000 0.000
Pt 0.333 0.667 0.000
Pt 0.667 0.333 0.000

The formation energy (no corrections) is -1321 kJ/mol of formula units. The density of states at the Fermi level is 0.94 states/eV per atom. Its volume is 393.19 Å³/f.u. Its symmetry is No. 12.



No. 2
An optimized crystal structure of Pr4AsRhI2. Source: Alexandria via LeMat-Bulk, functional PBE.

a = 4.197 Å, b = 7.777 Å, c = 8.217 Å
α = 106.48°, β = 90.00°, γ = 90.00°
Positions (direct):
As 0.000 0.000 0.000
Pr 0.500 0.239 0.195
Pr 0.000 0.712 0.187
Pr 0.000 0.288 0.813
Pr 0.500 0.761 0.805
Rh 0.500 0.500 0.000
I 0.000 0.500 0.500
I 0.500 0.000 0.500

The formation energy (no corrections) is -824 kJ/mol of formula units. The density of states at the Fermi level is 0.71 states/eV per atom. Its volume is 257.23 Å³/f.u. Its symmetry is No. 10.



No. 3
An optimized crystal structure of Pr6AsRh2I3. Source: Alexandria via LeMat-Bulk, functional PBE.

a = 7.437 Å, b = 7.437 Å, c = 8.428 Å
α = 98.40°, β = 98.40°, γ = 119.98°
Positions (direct):
Rh 0.333 0.667 0.000
Rh 0.667 0.333 0.000
I 0.837 0.163 0.500
I 0.163 0.837 0.500
I 0.500 0.500 0.500
Pr 0.411 0.064 0.190
Pr 0.064 0.411 0.190
Pr 0.589 0.936 0.810
Pr 0.936 0.589 0.810
Pr 0.715 0.715 0.189
Pr 0.285 0.285 0.811
As 0.000 0.000 0.000

The formation energy (no corrections) is -1175 kJ/mol of formula units. The density of states at the Fermi level is 0.37 states/eV per atom. Its volume is 386.18 Å³/f.u. Its symmetry is No. 12.



No. 4
An optimized crystal structure of Pr8AsRh3I4. Source: Alexandria via LeMat-Bulk, functional PBE.

a = 8.574 Å, b = 9.480 Å, c = 8.576 Å
α = 116.92°, β = 119.99°, γ = 90.00°
Positions (direct):
Rh 0.000 0.500 0.500
Rh 0.500 0.500 0.000
Rh 0.500 0.500 0.500
Pr 0.236 0.687 0.951
Pr 0.729 0.688 0.459
Pr 0.271 0.312 0.541
Pr 0.764 0.313 0.528
Pr 0.236 0.687 0.472
Pr 0.715 0.687 0.951
Pr 0.764 0.313 0.049
Pr 0.285 0.313 0.049
I 0.500 0.000 0.500
I 0.000 0.000 0.000
I 0.000 0.000 0.500
I 0.500 0.000 0.000
As 0.000 0.500 0.000

The formation energy (no corrections) is -1507 kJ/mol of formula units. The density of states at the Fermi level is 0.64 states/eV per atom. Its volume is 514.66 Å³/f.u. Its symmetry is No. 166.



| no. | E_tot (eV per atom) |
| --- | --- |
| 1 | -5.3122 |
| 2 | -5.3447 |
| 3 | -5.4047 |
| 4 | -5.4224 |